No. 1
DFT (PBE) results for a relaxed La2AlTl crystal.

Lattice parameters (Å, degrees): 3.7439 5.1755 6.5888 90.00 90.00 90.00
With the nearest neighbours (Å) after each atom.
Space group Pmm2 (No. 25)
Asymmetric unit:
La: 0.0000 0.0000 0.0000  2 Tl 3.16-3.43, 4 Al 3.28
La: 0.5000 0.5000 0.3870  2 Al 3.28-3.31, 4 Tl 3.31
Al: 0.5000 0.5000 0.8851  6 La 3.28-3.31
Tl: 0.0000 0.0000 0.5203  6 La 3.16-3.43

Calculated formation energy, eV/atom: -0.118
Spin magnetization, μB/cell: 0.0

No. 2
DFT (PBE) results for a relaxed CaAl2CuAu4 crystal.

Lattice parameters (Å, degrees): 4.4336 4.4336 26.5408 90.00 90.00 120.00
With the nearest neighbours (Å) after each atom.
Space group R-3m (No. 166, hexagonal axes)
Asymmetric unit:
Ca: 0.0000 0.0000 0.0000  6 Au 3.11
Al: 0.0000 0.0000 0.2385  7 Au 2.67-2.82
Cu: 0.0000 0.0000 0.5000  8 Au 2.66-2.72
Au: 0.0000 0.0000 0.1323  3 Cu 2.72, 4 Al 2.75-2.82
Au: 0.0000 0.0000 0.3996  1 Cu 2.66, 3 Al 2.67

Calculated formation energy, eV/atom: -0.431
Spin magnetization, μB/cell: 0.0

No. 3
DFT (PBE) results for a relaxed U2PaFe crystal.

Lattice parameters (Å, degrees): 2.9826 2.9826 30.1667 90.00 90.00 120.00
With the nearest neighbours (Å) after each atom.
Space group R-3m (No. 166, hexagonal axes)
Asymmetric unit:
U: 0.0000 0.0000 0.0960  3 Fe 2.74, 1 Pa 2.90, 6 U 2.98
Pa: 0.0000 0.0000 0.0000  2 U 2.90, 6 Pa 2.98
Fe: 0.0000 0.0000 0.5000  6 U 2.74, 6 Fe 2.98

Calculated formation energy, eV/atom: 0.312
Spin magnetization, μB/cell: 3.5

No. 4
DFT (PBE) results for a relaxed SnBi2HPd6 crystal.

Lattice parameters (Å, degrees): 5.4944 5.7741 6.9116 95.41 109.95 115.51
With the nearest neighbours (Å) after each atom.
Space group P-1 (No. 2)
Asymmetric unit:
Sn: 0.0000 0.0000 0.0000  6 Pd 2.67-2.78
Bi: 0.4905 0.2535 0.7855  8 Pd 2.78-3.10
H: 0.0000 0.5000 0.5000  4 Pd 1.91-2.09
Pd: 0.1271 0.8430 0.3741  1 H 2.17
Pd: 0.1733 0.3548 0.3631  1 H 1.91
Pd: 0.4050 0.7241 0.7710  1 H 2.09

E, eV/atom: -4.87
Spin magnetization, μB/cell: 0.0

No. 5
DFT (PBE) results for a relaxed MnCr2IrC crystal.

Lattice parameters (Å, degrees): 3.8512 3.8512 3.8288 90.00 90.00 90.00
With the nearest neighbours (Å) after each atom.
Space group P4/mmm (No. 123)
Asymmetric unit:
Mn: 0.0000 0.0000 0.0000  2 C 1.91
Cr: 0.0000 0.5000 0.5000  2 C 1.93
Ir: 0.5000 0.5000 0.0000  8 Cr 2.72, 4 Mn 2.72
C: 0.0000 0.0000 0.5000  2 Mn 1.91, 4 Cr 1.93

Calculated formation energy, eV/atom: -0.064
Spin magnetization, μB/cell: 0.1

No. 6
DFT (PBE) results for a relaxed Li2TcOs crystal.

Lattice parameters (Å, degrees): 2.9629 4.1307 9.2164 90.00 90.00 90.00
With the nearest neighbours (Å) after each atom.
Space group Cmmm (No. 65)
Asymmetric unit:
Li: 0.0000 0.0000 0.2443  4 Li 2.54, 2 Os 2.70, 2 Tc 2.78
Tc: 0.0000 0.5000 0.5000  4 Tc 2.54, 4 Li 2.78
Os: 0.0000 0.5000 0.0000  4 Os 2.54, 4 Li 2.70

Calculated formation energy, eV/atom: 0.263
Spin magnetization, μB/cell: 0.0

No. 7
DFT (PBE) results for a relaxed MgAl2CuRh crystal.

Lattice parameters (Å, degrees): 4.6038 4.6038 4.8867 90.00 90.00 90.00
With the nearest neighbours (Å) after each atom.
Space group P4/mmm (No. 123)
Asymmetric unit:
Mg: 0.0000 0.0000 0.0000  4 Cu 3.26, 8 Al 3.36
Al: 0.0000 0.5000 0.5000  2 Rh 2.30
Cu: 0.5000 0.5000 0.0000  2 Rh 2.44
Rh: 0.5000 0.5000 0.5000  4 Al 2.30, 2 Cu 2.44

Calculated formation energy, eV/atom: 0.080
Spin magnetization, μB/cell: 0.0

No. 8
DFT (PBE) results for a relaxed LiSb2P2 crystal.

Lattice parameters (Å, degrees): 5.1942 5.1942 9.4651 90.00 90.00 90.00
With the nearest neighbours (Å) after each atom.
Space group I4/mmm (No. 139)
Asymmetric unit:
Li: 0.0000 0.0000 0.0000  2 Sb 3.16, 8 P 3.51
Sb: 0.0000 0.0000 0.3340  4 P 2.72
P: 0.0000 0.5000 0.2500  4 Sb 2.72

Spin magnetization, μB/cell: 0.0
Formation energy (no corrections), eV/f.u.: 0.6

No. 9
DFT (PBE) results for a relaxed InP2Au crystal.

Lattice parameters (Å, degrees): 4.4872 3.8373 5.0201 90.00 103.23 90.00
With the nearest neighbours (Å) after each atom.
Space group P2/m (No. 10)
Asymmetric unit:
In: 0.0000 0.0000 0.0000  4 P 2.90, 2 Au 2.96
P: 0.2179 0.5000 0.6537  1 P 2.20
Au: 0.5000 0.0000 0.5000  4 P 2.52

Calculated formation energy, eV/atom: -0.025
Spin magnetization, μB/cell: 0.0

No. 10
DFT (PBE) results for a relaxed CeThSb crystal.

Lattice parameters (Å, degrees): 5.3894 5.3894 3.5390 90.00 90.00 120.00
With the nearest neighbours (Å) after each atom.
Space group P3m1 (No. 156)
Asymmetric unit:
Ce: 0.0000 0.0000 0.0000  3 Sb 3.26, 3 Th 3.50, 2 Ce 3.54
Th: 0.3333 0.6667 0.5467  3 Sb 3.25, 3 Ce 3.50, 2 Th 3.54
Sb: 0.6667 0.3333 0.2775  3 Th 3.25, 3 Ce 3.26, 2 Sb 3.54

Spin magnetization, μB/cell: 1.5
Formation energy (no corrections), eV/f.u.: -0.7

No. 11
DFT (PBE) results for a relaxed Sr2CaSn crystal.

Lattice parameters (Å, degrees): 5.1091 5.1091 24.7837 90.00 90.00 90.00
With the nearest neighbours (Å) after each atom.
Space group I-42d (No. 122)
Asymmetric unit:
Sr: 0.2270 0.2500 0.1250  4 Sr 3.45-3.78, 2 Sn 3.55, 2 Ca 3.63
Ca: 0.0000 0.0000 0.5000  4 Sn 3.61, 4 Sr 3.63
Sn: 0.0000 0.0000 0.0000  4 Sr 3.55, 4 Ca 3.61

Calculated formation energy, eV/atom: -0.009
Spin magnetization, μB/cell: 0.0

No. 12
DFT (PBE) results for a relaxed ZrFe2Os2 crystal.

Lattice parameters (Å, degrees): 7.3151 7.3151 2.6769 90.00 90.00 90.00
With the nearest neighbours (Å) after each atom.
Space group P4/mbm (No. 127)
Asymmetric unit:
Zr: 0.0000 0.0000 0.0000  2 Zr 2.68, 4 Os 2.89
Fe: 0.1702 0.3298 0.5000  6 Os 2.50-2.56, 2 Fe 2.68
Os: 0.1253 0.6253 0.0000  6 Fe 2.50-2.56, 3 Os 2.59-2.68

Calculated formation energy, eV/atom: 0.059
Spin magnetization, μB/cell: 0.0

No. 13
DFT (PBE) results for a relaxed Ce4Pm9In11 crystal.

Lattice parameters (Å, degrees): 18.5481 20.8288 3.5217 90.00 90.00 90.00
With the nearest neighbours (Å) after each atom.
Space group Cmmm (No. 65)
Asymmetric unit:
Ce: 0.1481 0.0791 0.0000  2 Pm 3.20-3.34, 3 Ce 3.29-3.52, 6 In 3.29-3.52
Pm: 0.0000 0.0000 0.0000  4 Ce 3.20, 4 In 3.45, 2 Pm 3.52
Pm: 0.1166 0.4106 0.0000  8 In 3.33-3.39, 4 Pm 3.52-3.72
Pm: 0.1202 0.2374 0.0000  1 Ce 3.34, 8 In 3.36-3.46, 3 Pm 3.52-3.61
In: 0.0000 0.1425 0.5000  6 Pm 3.45-3.46, 4 Ce 3.52, 3 In 3.52-3.76
In: 0.0000 0.3232 0.5000  8 Pm 3.33-3.36, 3 In 3.52-3.68
In: 0.0000 0.5000 0.5000  8 Pm 3.35, 4 In 3.52-3.68
In: 0.2309 0.5000 0.5000  4 Ce 3.29, 4 Pm 3.33, 4 In 3.52-3.61
In: 0.2417 0.3272 0.5000  4 In 3.23-3.61, 2 Ce 3.33, 6 Pm 3.39-3.42

Calculated formation energy, eV/atom: -0.374
Spin magnetization, μB/cell: 8.3